# 1
8
Lattice="-0.3028 -3.2895 2.9603 2.4975 -5.2343 -5.5609 8.0700 -0.3153 0.4752" Properties=species:S:1:pos:R:3 comment="NdSnTe4Pb2 | the Alexandria database | PBE | optimized geometry" dos_ef_per_ev_fu=3.932 m_tot_mub_per_cell=0.00 vol_a3_per_atom=34.44 e_form_raw_ev_per_atom=-0.58 pbc="T T T"
Pb 3.8836 -1.8024 1.7177
Pb 8.0700 -0.3153 0.4752
Te 6.5294 -3.2372 0.3940
Te 2.3404 -4.7306 1.6293
Te 3.7354 -5.6019 -2.5194
Te 7.9243 -4.1086 -3.7547
Nd 5.2838 -2.7748 -2.5428
Sn 1.0974 -4.2619 -1.3003

---

# 2
5
Lattice="-2.9168 1.6046 4.4072 -4.6902 -0.9624 -2.7536 -0.0320 -5.1966 1.8709" Properties=species:S:1:pos:R:3 comment="SrEr3Pt | the Alexandria database | PBE | optimized geometry" dos_ef_per_ev_fu=7.202 final_energy_ev_per_atom=-4.695 m_tot_mub_per_cell=0.00 vol_a3_per_atom=33.70 pbc="T T T"
Pt 0.0000 0.0000 0.0000
Er -0.0160 -2.5983 0.9354
Er -2.3451 -0.4812 -1.3768
Er -1.4584 0.8023 2.2036
Sr -3.8195 -2.2772 1.7623

---

# 3
20
Lattice="7.3525 0.6298 -0.5087 -0.2751 7.3743 -0.5087 -2.2091 -2.4983 5.8837" Properties=species:S:1:pos:R:3 comment="KBe2TlF6 | the Alexandria database | PBE | optimized geometry" dos_ef_per_ev_fu=0.000 m_tot_mub_per_cell=0.00 vol_a3_per_atom=15.14 e_form_raw_ev_per_atom=-2.88 pbc="T T T"
F 4.1596 6.0386 0.8227
F 1.9119 6.7776 -0.1408
F 2.8363 0.1839 2.7646
F 5.3880 1.4781 2.8010
F 0.9398 4.0867 -0.1772
F 3.9286 1.4192 5.0434
F 0.7088 -0.5328 4.0435
F 0.4890 1.8874 1.1016
F 2.9565 -1.2718 5.0070
F -0.5196 4.0277 2.0652
F 4.3794 3.6185 3.7646
F 2.0320 5.3220 2.1016
Be -0.0764 3.2658 0.8277
Be 2.1461 -0.9252 3.7696
Be 2.7223 6.4310 1.0966
Be 4.9448 2.2400 4.0385
K -0.8104 6.7348 0.9622
K 5.6788 -1.2290 3.9040
Tl 3.7296 2.7204 0.9622
Tl 1.1388 2.7854 3.9040

---

Q: Which formula does entry 3 have?
A: KBe2TlF6

---

Q: Which formula does entry 2 have?
A: SrEr3Pt